The following is a DFT calculation (PBE-GGA) of a geometry-optimized DyHgNO structure.

Cell lengths 3.9080, 3.9080, 7.9801 Å; angles 90.00, 90.00, 90.00 degrees
With the nearest neighbours (Å) after each atom.
Fractional coordinates of all 8 atoms:
Dy: 0.2500 0.2500 0.1360  4 O 2.24
Dy: 0.7500 0.7500 0.8640  4 O 2.24
Hg: 0.7500 0.2500 0.5000  4 N 2.51, 4 Hg 2.76
Hg: 0.2500 0.7500 0.5000  4 N 2.51, 4 Hg 2.76
N: 0.7500 0.7500 0.3022  4 Hg 2.51
N: 0.2500 0.2500 0.6978  4 Hg 2.51
O: 0.7500 0.2500 0.0000  4 Dy 2.24
O: 0.2500 0.7500 0.0000  4 Dy 2.24

For the magnetization, the calculation gives 0.0 μB per formula unit. As for the energy above the most stable polymorph in this dataset: 219 meV per atom. As for the calculated total energy: -5.5250 eV per atom.